Entry 1:
First-principles (GGA-PBE) data for Cs6HCl5 after structural relaxation, as listed in Alexandria via LeMat-Bulk.

Values from the calculation:
Raw total energy in eV/atom: -3.1398
Total magnetization in μB/f.u.: 0.1

```
data_Cs6HCl5
_space_group_name_H-M_alt 'C 1 2/m 1'
_space_group_IT_number 12
_cell_length_a 8.572
_cell_length_b 14.859
_cell_length_c 8.569
_cell_angle_alpha 90.00
_cell_angle_beta 109.49
_cell_angle_gamma 90.00
loop_
_space_group_symop_operation_xyz
'x,y,z'
'-x,-y,-z'
'-x,y,-z'
'x,-y,z'
'x+1/2,y+1/2,z'
'-x+1/2,-y+1/2,-z'
'-x+1/2,y+1/2,-z'
'x+1/2,-y+1/2,z'
loop_
_atom_site_label
_atom_site_fract_x
_atom_site_fract_y
_atom_site_fract_z
_atom_site_occupancy
Cs1 0.240 0.000 0.258 1
Cs2 0.243 0.161 0.745 1
H1 0.000 0.000 0.500 1
Cl1 0.000 0.168 0.000 1
Cl2 0.000 0.334 0.500 1
Cl3 0.000 0.500 0.000 1
```



Entry 2:
First-principles (GGA-PBE) data for LiZr2Ru2 after structural relaxation, as listed in Alexandria via LeMat-Bulk.

Values from the calculation:
Energy above the lowest structure with this stoichiometry in meV/atom: 0
Raw total energy in eV/atom: -7.7609
Formation energy in eV per atom: -0.25
Total magnetization in μB/f.u.: 0.0

```
data_LiZr2Ru2
_space_group_name_H-M_alt 'P 4/m b m'
_space_group_IT_number 127
_space_group_name_Hall '-P 4 2ab'
_cell_length_a 7.546
_cell_length_b 7.546
_cell_length_c 3.244
_cell_angle_alpha 90.00
_cell_angle_beta 90.00
_cell_angle_gamma 90.00
loop_
_atom_site_label
_atom_site_fract_x
_atom_site_fract_y
_atom_site_fract_z
_atom_site_occupancy
Li1 0.000 0.000 0.000 1
Zr1 0.156 0.344 0.500 1
Ru1 0.141 0.641 0.000 1
```



Entry 3:
First-principles (GGA-PBE) data for Pd2Pt3Au after structural relaxation, as listed in Alexandria via LeMat-Bulk.

Values from the calculation:
Energy above the lowest structure with this stoichiometry in meV/atom: 36
Raw total energy in eV/atom: -5.2718
Formation energy in eV per atom: 0.03
Total magnetization in μB/f.u.: 0.0

```
data_Pd2Pt3Au
_space_group_name_H-M_alt 'C 1 2/m 1'
_space_group_IT_number 12
_cell_length_a 13.235
_cell_length_b 3.357
_cell_length_c 9.111
_cell_angle_alpha 90.00
_cell_angle_beta 107.61
_cell_angle_gamma 90.00
loop_
_space_group_symop_operation_xyz
'x,y,z'
'-x,-y,-z'
'-x,y,-z'
'x,-y,z'
'x+1/2,y+1/2,z'
'-x+1/2,-y+1/2,-z'
'-x+1/2,y+1/2,-z'
'x+1/2,-y+1/2,z'
loop_
_atom_site_label
_atom_site_fract_x
_atom_site_fract_y
_atom_site_fract_z
_atom_site_occupancy
Pd1 0.043 0.000 0.369 1
Pd2 0.209 0.500 0.372 1
Pt1 0.040 0.500 0.878 1
Pt2 0.127 0.000 0.124 1
Pt3 0.207 0.000 0.877 1
Au1 0.123 0.500 0.621 1
```



Entry 4:
First-principles (GGA-PBE) data for NdMn2Ni5 after structural relaxation, as listed in Alexandria via LeMat-Bulk.

Values from the calculation:
Raw total energy in eV/atom: -6.4955
Formation energy in eV per atom: 0.01
Total magnetization in μB/f.u.: 8.2

```
data_NdMn2Ni5
_space_group_name_H-M_alt 'I m m m'
_space_group_IT_number 71
_space_group_name_Hall '-I 2 2'
_cell_length_a 3.738
_cell_length_b 6.625
_cell_length_c 9.360
_cell_angle_alpha 90.00
_cell_angle_beta 90.00
_cell_angle_gamma 90.00
loop_
_atom_site_label
_atom_site_fract_x
_atom_site_fract_y
_atom_site_fract_z
_atom_site_occupancy
Nd1 0.000 0.000 0.000 1
Mn1 0.000 0.500 0.245 1
Ni1 0.000 0.186 0.363 1
Ni2 0.000 0.500 0.000 1
```



Entry 5:
First-principles (GGA-PBE) data for Cs6KRb2Se after structural relaxation, as listed in Alexandria via LeMat-Bulk.

Values from the calculation:
Raw total energy in eV/atom: -1.4358
Energy relative to the elements, uncorrected in meV per atom: -272
Total magnetization in μB/f.u.: 0.0

```
data_Cs6KRb2Se
_space_group_name_H-M_alt 'P 1'
_space_group_IT_number 1
_cell_length_a 11.133
_cell_length_b 11.194
_cell_length_c 11.195
_cell_angle_alpha 89.95
_cell_angle_beta 60.20
_cell_angle_gamma 60.18
loop_
_space_group_symop_operation_xyz
'x,y,z'
loop_
_atom_site_label
_atom_site_fract_x
_atom_site_fract_y
_atom_site_fract_z
_atom_site_occupancy
Cs1 0.000 0.000 0.000 1
Cs2 0.000 0.439 0.560 1
Cs3 0.004 0.438 0.998 1
Cs4 0.439 0.001 0.562 1
Cs5 0.560 0.438 0.999 1
Cs6 0.998 0.001 0.562 1
K1 0.998 0.721 0.281 1
Rb1 0.500 0.470 0.529 1
Rb2 0.500 0.969 0.031 1
Se1 0.000 0.220 0.780 1
```



Entry 6:
First-principles (GGA-PBE) data for Zn2IrOs after structural relaxation, as listed in Alexandria via LeMat-Bulk.

Values from the calculation:
Energy above the lowest structure with this stoichiometry in meV/atom: 175
Raw total energy in eV/atom: -5.4716
Formation energy in eV per atom: 0.19
Total magnetization in μB/f.u.: 0.0

```
data_Zn2IrOs
_space_group_name_H-M_alt 'I -4 m 2'
_space_group_IT_number 119
_space_group_name_Hall 'I -4 -2'
_cell_length_a 3.906
_cell_length_b 3.906
_cell_length_c 7.464
_cell_angle_alpha 90.00
_cell_angle_beta 90.00
_cell_angle_gamma 90.00
loop_
_atom_site_label
_atom_site_fract_x
_atom_site_fract_y
_atom_site_fract_z
_atom_site_occupancy
Zn1 0.000 0.000 0.000 1
Zn2 0.000 0.500 0.250 1
Ir1 0.000 0.500 0.750 1
Os1 0.000 0.000 0.500 1
```



Number 1: D(E_F) 0.0 states/eV/f.u.. Number 2: D(E_F) 3.8 states/eV/f.u.. Number 3: D(E_F) 8.8 states/eV/f.u.. Number 4: D(E_F) 6.6 states/eV/f.u.. Number 5: D(E_F) 6.9 states/eV/f.u.. Number 6: D(E_F) 3.4 states/eV/f.u..